! CaCeFeN3 (PBE, relaxed); values from VASP
&SYSTEM
  ibrav = 0, nat = 12, ntyp = 4
/
ATOMIC_SPECIES
Ca 40.08 Ca.upf
Ce 140.12 Ce.upf
Fe 55.84 Fe.upf
N 14.01 N.upf
ATOMIC_POSITIONS angstrom
Ca 0.957 0.861 1.230
Ca 5.455 2.584 6.299
Ce 2.055 2.584 6.192
Ce 4.357 0.861 1.337
Fe 0.109 0.861 4.457
Fe 6.304 2.584 3.072
N 0.322 0.861 6.303
N 0.764 2.584 4.021
N 2.792 2.584 0.973
N 3.620 0.861 6.556
N 5.649 0.861 3.508
N 6.091 2.584 1.226
CELL_PARAMETERS angstrom
7.092 0.000 0.000
0.000 3.446 0.000
-0.680 0.000 7.529
! Uncorrected formation energy in meV/atom: -856
! Density of states at the Fermi level in states/eV/atom: 0.43
! Theoretical density in Mg/m³: 5.0
! Total DFT energy (no corrections) in eV/atom: -7.752
! SG: P2_1/m